Record 1
Here is TaBeHOs2 after structural relaxation from Alexandria. Energies are from PBE.

Calculated values
- Final energy: -38.92 eV per formula unit
- Magnetization: 0.00 μB/f.u.
- N(E_F): 0.381 states/eV/atom

abc: 4.4062 3.1841 4.4062
angles: 90.00 90.00 90.00
With the nearest neighbours (Å) after each atom.
Fractional coordinates of all 5 atoms:
1 Os 0.5000 0.0000 0.0000  2 Be 2.20
2 Os 0.0000 0.0000 0.5000  2 Be 2.20
3 H 0.0000 0.5000 0.0000  2 Be 1.59
4 Be 0.0000 0.0000 0.0000  2 H 1.59
5 Ta 0.5000 0.5000 0.5000  8 Os 2.72

---

Record 2
Here is Ti2BeHOs after structural relaxation from Alexandria. Energies are from PBE.

Calculated values
- Final energy: -35.78 eV per formula unit
- Magnetization: 0.00 μB/f.u.
- N(E_F): 0.660 states/eV/atom

abc: 4.2172 4.2172 3.2171
angles: 90.00 90.00 90.00
With the nearest neighbours (Å) after each atom.
Fractional coordinates of all 5 atoms:
1 Os 0.5000 0.5000 0.5000  8 Ti 2.65
2 Ti 0.5000 0.0000 0.0000  2 H 2.11
3 Be 0.0000 0.0000 0.5000  2 H 1.61
4 H 0.0000 0.0000 0.0000  2 Be 1.61
5 Ti 0.0000 0.5000 0.0000  2 H 2.11

---

Record 3
Here is Be2VHOs after structural relaxation from Alexandria. Energies are from PBE.

Calculated values
- Final energy: -31.02 eV per formula unit
- Magnetization: 0.00 μB/f.u.
- N(E_F): 0.436 states/eV/atom

abc: 3.5946 3.5946 3.6380
angles: 90.00 90.00 90.00
With the nearest neighbours (Å) after each atom.
Fractional coordinates of all 5 atoms:
1 Os 0.5000 0.5000 0.5000  4 V 2.54, 8 Be 2.56
2 Be 0.5000 0.0000 0.0000  2 H 1.80
3 H 0.0000 0.0000 0.0000  4 Be 1.80, 2 V 1.82
4 V 0.0000 0.0000 0.5000  2 H 1.82
5 Be 0.0000 0.5000 0.0000  2 H 1.80

---

Record 4
Here is BePH after structural relaxation from Alexandria. Energies are from PBE.

Calculated values
- Final energy: -12.76 eV per formula unit
- Magnetization: 0.00 μB/f.u.
- N(E_F): 0.000 states/eV/atom

abc: 3.7154 5.8766 4.4279
angles: 90.00 90.00 90.00
With the nearest neighbours (Å) after each atom.
Fractional coordinates of all 6 atoms:
1 Be 0.0000 0.0879 0.7572  3 P 2.08-2.17
2 H 0.5000 0.3773 0.1205  1 P 1.42
3 Be 0.5000 0.9121 0.2572  3 P 2.08-2.17
4 P 0.0000 0.8156 0.4260  1 H 1.42
5 H 0.0000 0.6227 0.6205  1 P 1.42
6 P 0.5000 0.1844 0.9260  1 H 1.42

---

Record 5
Here is BeP3H after structural relaxation from Alexandria. Energies are from PBE.

Calculated values
- Final energy: -21.94 eV per formula unit
- Magnetization: 0.00 μB/f.u.
- N(E_F): 0.337 states/eV/atom

abc: 9.3785 2.9390 6.4135
angles: 89.99 90.12 90.15
With the nearest neighbours (Å) after each atom.
Fractional coordinates of all 10 atoms:
1 P 0.4982 0.1775 0.5865  2 Be 2.15-2.19, 2 P 2.31
2 P 0.6202 0.6784 0.8006  4 P 2.31
3 P 0.0358 0.1724 0.1234  3 P 2.20-2.29
4 P 0.1806 0.6735 0.2975  4 P 2.29
5 H 0.2507 0.6757 0.7994  2 Be 1.59-1.60
6 P 0.4988 0.1775 0.0144  2 Be 2.16-2.19, 2 P 2.31
7 Be 0.3169 0.1768 0.8008  2 H 1.59-1.60
8 H 0.6893 0.6798 0.3014  2 Be 1.61
9 Be 0.6191 0.1800 0.3011  2 H 1.61
10 P 0.0341 0.1722 0.4671  3 P 2.20-2.29

---

Record 6
Here is BePH after structural relaxation from Alexandria. Energies are from PBE.

Calculated values
- Final energy: -12.83 eV per formula unit
- Magnetization: 0.00 μB/f.u.
- N(E_F): 0.003 states/eV/atom

abc: 3.6976 3.6982 8.4679
angles: 85.78 85.19 60.09
With the nearest neighbours (Å) after each atom.
Fractional coordinates of all 6 atoms:
1 Be 0.0595 0.5711 0.6495  4 P 2.14-2.26
2 P 0.8439 0.3667 0.8795  4 Be 2.14-2.26, 1 P 2.32
3 H 0.5082 0.0302 0.2234  1 H 0.75
4 H 0.4147 0.9707 0.2960  1 H 0.75
5 P 0.7296 0.2404 0.6287  4 Be 2.14-2.26, 1 P 2.32
6 Be 0.5140 0.0360 0.8587  4 P 2.14-2.26

---

Record 7
Here is BePH after structural relaxation from Alexandria. Energies are from PBE.

Calculated values
- Final energy: -12.87 eV per formula unit
- Magnetization: 0.00 μB/f.u.
- N(E_F): 0.000 states/eV/atom

abc: 3.6627 3.6853 7.2075
angles: 75.37 77.05 60.48
With the nearest neighbours (Å) after each atom.
Fractional coordinates of all 6 atoms:
1 H 0.7481 0.7170 0.3765  1 P 1.43
2 H 0.2519 0.2830 0.6235  1 P 1.43
3 Be 0.0000 0.8261 0.8884  4 P 2.16-2.26, 1 Be 2.30
4 P 0.6399 0.8015 0.1864  1 H 1.43
5 Be 0.0000 0.1739 0.1116  4 P 2.16-2.26, 1 Be 2.30
6 P 0.3601 0.1985 0.8136  1 H 1.43

---

Record 8
Here is BeP2H after structural relaxation from Alexandria. Energies are from PBE.

Calculated values
- Final energy: -16.22 eV per formula unit
- Magnetization: 0.00 μB/f.u.
- N(E_F): 0.310 states/eV/atom

abc: 3.9380 3.9380 6.6599
angles: 72.80 72.80 90.00
With the nearest neighbours (Å) after each atom.
Fractional coordinates of all 8 atoms:
1 Be 0.7500 0.2500 0.5000  4 P 2.14
2 Be 0.0000 0.0000 0.0000  4 P 2.14
3 P 0.1654 0.6250 0.2500  2 H 1.98, 2 Be 2.14
4 H 0.5000 0.5000 0.0000  4 P 1.98
5 H 0.2500 0.7500 0.5000  4 P 1.98
6 P 0.3750 0.4154 0.7500  2 H 1.98, 2 Be 2.14
7 P 0.8750 0.8346 0.7500  2 H 1.98, 2 Be 2.14
8 P 0.5846 0.1250 0.2500  2 H 1.98, 2 Be 2.14

---

Record 9
Here is BePH after structural relaxation from Alexandria. Energies are from PBE.

Calculated values
- Final energy: -12.89 eV per formula unit
- Magnetization: 0.00 μB/f.u.
- N(E_F): 0.000 states/eV/atom

abc: 6.0238 3.7559 6.0289
angles: 90.00 90.00 90.00
With the nearest neighbours (Å) after each atom.
Fractional coordinates of all 12 atoms:
1 P 0.2335 0.2500 0.3657  1 H 1.42
2 P 0.7335 0.2500 0.1343  1 H 1.42
3 H 0.0975 0.7500 0.0299  1 P 1.42
4 H 0.9025 0.2500 0.9701  1 P 1.42
5 Be 0.3802 0.2500 0.0327  4 P 2.19-2.24, 2 Be 2.40
6 P 0.2665 0.7500 0.8657  1 H 1.42
7 Be 0.1198 0.7500 0.5327  4 P 2.19-2.24, 2 Be 2.40
8 Be 0.6198 0.7500 0.9673  4 P 2.19-2.24, 2 Be 2.40
9 H 0.4025 0.2500 0.5299  1 P 1.42
10 H 0.5975 0.7500 0.4701  1 P 1.42
11 P 0.7665 0.7500 0.6343  1 H 1.42
12 Be 0.8802 0.2500 0.4673  4 P 2.19-2.24, 2 Be 2.40

---

Record 10
Here is Be3PH after structural relaxation from Alexandria. Energies are from PBE.

Calculated values
- Final energy: -17.85 eV per formula unit
- Magnetization: 0.00 μB/f.u.
- N(E_F): 0.284 states/eV/atom

abc: 3.4412 3.4412 3.4412
angles: 90.00 90.00 90.00
With the nearest neighbours (Å) after each atom.
Fractional coordinates of all 5 atoms:
1 Be 0.5000 0.0000 0.0000  2 H 1.72
2 Be 0.0000 0.5000 0.0000  2 H 1.72
3 H 0.0000 0.0000 0.0000  6 Be 1.72
4 P 0.5000 0.5000 0.5000  12 Be 2.43
5 Be 0.0000 0.0000 0.5000  2 H 1.72

---

Record 11
Here is BePH after structural relaxation from Alexandria. Energies are from PBE.

Calculated values
- Final energy: -12.80 eV per formula unit
- Magnetization: 0.00 μB/f.u.

abc: 6.4788 3.7050 9.2239
angles: 90.00 134.54 90.00
With the nearest neighbours (Å) after each atom.
Fractional coordinates of all 12 atoms:
1 P 0.3893 0.5000 0.3951  1 H 1.45
2 Be 0.8969 0.5000 0.8657  1 H 1.42
3 Be 0.4015 0.0000 0.2797  1 H 1.45
4 Be 0.8969 0.0000 0.3657  1 H 1.42
5 P 0.1065 0.0000 0.9480  3 Be 2.10-2.19, 1 P 2.20
6 P 0.1065 0.5000 0.4480  3 Be 2.10-2.19, 1 P 2.20
7 H 0.7077 0.0000 0.3938  2 Be 1.42-1.45
8 H 0.7077 0.5000 0.8938  2 Be 1.42-1.45
9 P 0.3893 0.0000 0.8951  1 H 1.45
10 H 0.6771 0.0000 0.1007  1 P 1.45
11 Be 0.4015 0.5000 0.7797  1 H 1.45
12 H 0.6771 0.5000 0.6007  1 P 1.45

---

Record 12
Here is Be3P2H2 after structural relaxation from Alexandria. Energies are from PBE.

Calculated values
- Final energy: -28.20 eV per formula unit
- Magnetization: 0.00 μB/f.u.
- N(E_F): 0.092 states/eV/atom

abc: 2.5488 5.1479 7.8239
angles: 133.45 99.37 90.00
With the nearest neighbours (Å) after each atom.
Fractional coordinates of all 7 atoms:
1 Be 0.0000 0.0000 0.0000  4 H 1.64
2 P 0.8452 0.9800 0.6905  4 Be 2.13-2.32
3 Be 0.3429 0.3286 0.6858  1 H 1.46
4 P 0.1548 0.0200 0.3095  4 Be 2.13-2.32
5 H 0.4399 0.7228 0.8798  1 Be 1.46
6 Be 0.6571 0.6714 0.3142  1 H 1.46
7 H 0.5601 0.2772 0.1202  1 Be 1.46